RbCa3W, optimized geometry, DFT PBE; E_form = 2.1445 eV per atom; total moment = 0.0 Bohr magnetons per cell; space-group type = Pm-3m (221); density of states at the Fermi level = 13.03 states/eV/f.u.; final energy = -9.20 eV for the cell shown
1.0
5.417 0.000 0.000
0.000 5.417 0.000
0.000 0.000 5.417
Ca W Rb
3 1 1
direct
0.000 0.500 0.000 Ca
0.000 0.000 0.500 Ca
0.500 0.000 0.000 Ca
0.500 0.500 0.500 W
0.000 0.000 0.000 Rb

=====

ZrCdAs, optimized geometry, DFT PBE; E_form = -0.1252 eV per atom; total moment = 0.0 Bohr magnetons per cell; space-group type = P3m1 (156); density of states at the Fermi level = 1.74 states/eV/f.u.; final energy = -14.49 eV for the cell shown
1.0
-0.564 1.420 -2.821
2.360 -2.158 0.266
-4.641 -5.289 -1.735
As Zr Cd
1 1 1
direct
0.000 0.000 0.984 As
0.333 0.667 0.684 Zr
0.667 0.333 0.332 Cd

=====

Ni2OsRh, optimized geometry, DFT PBE; E_form = 0.1249 eV per atom; total moment = 0.0 Bohr magnetons per cell; space-group type = P2/m (10); density of states at the Fermi level = 5.43 states/eV/f.u.; final energy = -29.64 eV for the cell shown
1.0
-0.131 2.458 -0.933
2.114 -1.303 -3.730
-5.153 -0.074 0.528
Ni Os Rh
2 1 1
direct
0.252 0.752 0.498 Ni
0.752 0.253 0.998 Ni
0.253 0.752 0.998 Os
0.753 0.252 0.498 Rh

=====

KZnCd, optimized geometry, DFT PBE; E_form = -0.0008 eV per atom; total moment = 0.0 Bohr magnetons per cell; space-group type = C2/m (12); density of states at the Fermi level = 1.20 states/eV/f.u.; final energy = -6.58 eV for the cell shown
1.0
5.002 0.000 0.000
2.501 5.887 -0.736
2.501 0.698 5.853
Cd Zn K
2 2 2
direct
0.675 0.740 0.909 Cd
0.325 0.260 0.091 Cd
0.351 0.584 0.714 Zn
0.649 0.416 0.286 Zn
0.070 0.175 0.686 K
0.930 0.825 0.314 K

=====

Na3Y3SnS8, optimized geometry, DFT PBE; E_form (uncorrected) = -1.54 eV per atom; total moment = 0.0 Bohr magnetons per cell; space-group type = R-3m (166); final energy = -83.47 eV for the cell shown
1.0
7.883 0.000 0.000
-3.942 6.828 -0.026
0.000 -4.529 6.784
Na S Y Sn
3 8 3 1
direct
0.500 0.500 0.000 Na
0.000 0.000 0.000 Na
0.000 0.500 0.000 Na
0.258 0.517 0.276 S
0.757 0.988 0.720 S
0.243 0.012 0.280 S
0.231 0.988 0.720 S
0.769 0.012 0.280 S
0.742 0.483 0.724 S
0.231 0.463 0.720 S
0.769 0.537 0.280 S
0.000 0.500 0.500 Y
0.500 0.500 0.500 Y
0.500 0.000 0.500 Y
0.000 0.000 0.500 Sn

=====

NdNpN3, optimized geometry, DFT PBE; E_form (uncorrected) = -1.00 eV per atom; total moment = 2.0 Bohr magnetons per cell; space-group type = C2/m (12); density of states at the Fermi level = 2.97 states/eV/f.u.; final energy = -95.36 eV for the cell shown
1.0
3.504 0.000 0.000
-1.752 6.120 -0.121
0.000 -0.675 7.419
Nd N Np
2 6 2
direct
0.384 0.769 0.603 Nd
0.616 0.231 0.397 Nd
0.963 0.926 0.323 N
0.261 0.522 0.329 N
0.037 0.074 0.677 N
0.739 0.478 0.671 N
0.671 0.342 0.028 N
0.329 0.658 0.972 N
0.175 0.349 0.835 Np
0.825 0.651 0.166 Np

=====

NiTeH, optimized geometry, DFT PBE; total moment = 0.0 Bohr magnetons per cell; space-group type = P-1 (2); density of states at the Fermi level = 1.95 states/eV/f.u.; final energy = -24.52 eV for the cell shown
1.0
3.398 -0.037 -0.034
0.141 6.320 -0.072
0.067 1.957 4.534
H Te Ni
2 2 2
direct
0.516 0.168 0.419 H
0.484 0.832 0.581 H
0.007 0.719 0.141 Te
0.993 0.281 0.859 Te
0.500 0.003 0.242 Ni
0.500 0.997 0.758 Ni

=====

Zr5Pb4, optimized geometry, DFT PBE; E_form = -0.0428 eV per atom; total moment = 0.0 Bohr magnetons per cell; space-group type = I4/mmm (139); density of states at the Fermi level = 9.01 states/eV/f.u.; final energy = -57.96 eV for the cell shown
1.0
-0.443 -6.793 -2.776
-3.589 4.987 4.036
-0.938 3.461 -6.418
Pb Zr
4 5
direct
0.308 0.000 0.308 Pb
0.692 0.000 0.692 Pb
0.000 0.692 0.692 Pb
0.000 0.308 0.308 Pb
0.329 0.329 0.658 Zr
0.000 0.000 0.000 Zr
0.671 0.671 0.342 Zr
0.671 0.329 0.000 Zr
0.329 0.671 0.000 Zr

=====

PmEr3, optimized geometry, DFT PBE; E_form = 0.0082 eV per atom; total moment = 0.0 Bohr magnetons per cell; space-group type = P6_3/mmc (194); density of states at the Fermi level = 7.29 states/eV/f.u.; final energy = -36.81 eV for the cell shown
1.0
7.204 0.000 0.000
-3.602 6.238 0.000
0.000 0.000 5.656
Er Pm
6 2
direct
0.834 0.668 0.750 Er
0.332 0.166 0.750 Er
0.834 0.166 0.750 Er
0.668 0.834 0.250 Er
0.166 0.834 0.250 Er
0.166 0.332 0.250 Er
0.667 0.333 0.250 Pm
0.333 0.667 0.750 Pm

=====

Mg6NbZn, optimized geometry, DFT PBE; E_form = 0.1168 eV per atom; total moment = 0.0 Bohr magnetons per cell; space-group type = Amm2 (38); density of states at the Fermi level = 3.30 states/eV/f.u.; final energy = -19.98 eV for the cell shown
1.0
3.107 -5.415 0.000
3.107 5.415 0.000
0.000 0.000 4.846
Mg Nb Zn
6 1 1
direct
0.325 0.162 0.500 Mg
0.667 0.333 0.000 Mg
0.171 0.346 0.000 Mg
0.838 0.675 0.500 Mg
0.832 0.168 0.500 Mg
0.654 0.829 0.000 Mg
0.327 0.673 0.500 Nb
0.184 0.816 0.000 Zn

=====

PmUN3, optimized geometry, DFT PBE; E_form (uncorrected) = -1.27 eV per atom; total moment = 0.0 Bohr magnetons per cell; space-group type = C2/m (12); final energy = -94.69 eV for the cell shown
1.0
-1.394 -3.237 -0.683
6.723 -0.926 0.104
-2.231 -0.512 6.981
N Pm U
6 2 2
direct
0.690 0.379 0.660 N
0.005 0.010 0.267 N
0.674 0.349 0.021 N
0.326 0.651 0.979 N
0.995 0.990 0.733 N
0.310 0.621 0.340 N
0.382 0.765 0.679 Pm
0.618 0.235 0.321 Pm
0.844 0.687 0.178 U
0.156 0.313 0.822 U

=====

Ca4Mg4P4O17F3, optimized geometry, DFT PBE; E_form (uncorrected) = -2.84 eV per atom; total moment = 1.2 Bohr magnetons per cell; space-group type = C2 (5); final energy = -216.96 eV for the cell shown
1.0
7.947 0.002 -0.004
3.029 7.347 -0.004
0.517 0.346 6.538
O P F Mg Ca
17 4 3 4 4
direct
0.291 0.104 0.415 O
0.896 0.709 0.585 O
0.977 0.365 0.666 O
0.713 0.407 0.334 O
0.216 0.907 0.836 O
0.873 0.980 0.897 O
0.406 0.215 0.078 O
0.635 0.023 0.334 O
0.369 0.475 0.407 O
0.472 0.870 0.159 O
0.962 0.038 0.500 O
0.020 0.127 0.103 O
0.593 0.287 0.666 O
0.785 0.594 0.922 O
0.525 0.631 0.593 O
0.093 0.784 0.164 O
0.130 0.528 0.841 O
0.448 0.056 0.246 P
0.055 0.945 0.000 P
0.553 0.447 0.500 P
0.944 0.552 0.754 P
0.042 0.458 0.251 F
0.542 0.958 0.749 F
0.458 0.542 0.000 F
0.748 0.997 0.619 Mg
0.499 0.751 0.876 Mg
0.249 0.501 0.124 Mg
0.003 0.252 0.381 Mg
0.214 0.786 0.500 Ca
0.780 0.703 0.260 Ca
0.712 0.288 0.000 Ca
0.297 0.220 0.740 Ca

=====

MgScP2S, optimized geometry, DFT PBE; E_form (uncorrected) = 0.18 eV per atom; total moment = 0.0 Bohr magnetons per cell; space-group type = P4/mmm (123); density of states at the Fermi level = 3.55 states/eV/f.u.; final energy = -21.95 eV for the cell shown
1.0
-1.453 -2.281 3.846
-1.642 -3.490 -2.690
4.202 -2.197 0.284
Sc P Mg S
1 2 1 1
direct
0.500 0.500 0.500 Sc
0.500 0.000 0.000 P
0.000 0.500 0.000 P
0.000 0.000 0.000 Mg
0.000 0.000 0.500 S

=====

Er3AlSi2, optimized geometry, DFT PBE; E_form (uncorrected) = -0.64 eV per atom; total moment = 0.0 Bohr magnetons per cell; space-group type = Pnma (62); density of states at the Fermi level = 3.45 states/eV/f.u.; final energy = -128.37 eV for the cell shown
1.0
-3.372 -2.366 -0.282
6.556 -9.256 -0.739
-0.210 -1.052 11.327
Er Si Al
12 8 4
direct
0.750 0.881 0.446 Er
0.250 0.699 0.200 Er
0.750 0.565 0.628 Er
0.250 0.435 0.372 Er
0.750 0.619 0.946 Er
0.750 0.199 0.300 Er
0.750 0.935 0.128 Er
0.250 0.065 0.872 Er
0.250 0.119 0.554 Er
0.750 0.301 0.800 Er
0.250 0.801 0.700 Er
0.250 0.381 0.054 Er
0.250 0.684 0.478 Si
0.250 0.816 0.978 Si
0.750 0.316 0.522 Si
0.750 0.998 0.687 Si
0.750 0.184 0.022 Si
0.250 0.498 0.813 Si
0.250 0.002 0.313 Si
0.750 0.502 0.187 Si
0.750 0.869 0.866 Al
0.250 0.369 0.634 Al
0.750 0.631 0.366 Al
0.250 0.131 0.134 Al

=====

BaCuS2, optimized geometry, DFT PBE; E_form (uncorrected) = -0.47 eV per atom; total moment = 0.0 Bohr magnetons per cell; space-group type = Fm-3m (225); density of states at the Fermi level = 6.27 states/eV/f.u.; final energy = -16.15 eV for the cell shown
1.0
1.124 -1.254 4.762
-3.700 -1.027 3.282
-0.713 -4.738 1.599
S Ba Cu
2 1 1
direct
0.750 0.750 0.750 S
0.250 0.250 0.250 S
0.500 0.500 0.500 Ba
0.000 0.000 0.000 Cu

=====

LiTcAu2, optimized geometry, DFT PBE; E_form = 0.0002 eV per atom; total moment = 0.0 Bohr magnetons per cell; space-group type = P4/mmm (123); density of states at the Fermi level = 2.16 states/eV/f.u.; final energy = -18.83 eV for the cell shown
1.0
2.730 -0.009 0.000
0.012 2.730 0.000
0.000 0.000 8.464
Au Li Tc
2 1 1
direct
0.000 0.000 0.492 Au
0.000 0.000 0.008 Au
0.500 0.500 0.250 Li
0.500 0.500 0.750 Tc

=====

HoCdHg4, optimized geometry, DFT PBE; E_form = -0.0690 eV per atom; total moment = 0.0 Bohr magnetons per cell; space-group type = P4/mmm (123); density of states at the Fermi level = 2.82 states/eV/f.u.; final energy = -7.11 eV for the cell shown
1.0
-4.194 1.353 -0.927
-1.246 -0.972 4.223
1.987 7.792 2.381
Ho Hg Cd
1 4 1
direct
0.501 0.497 0.998 Ho
0.001 0.497 0.745 Hg
0.001 0.497 0.251 Hg
0.501 0.997 0.251 Hg
0.501 0.997 0.746 Hg
0.001 0.997 0.498 Cd

=====

V2CrSnH, optimized geometry, DFT PBE; total moment = 0.7 Bohr magnetons per cell; space-group type = P4/mmm (123); density of states at the Fermi level = 2.97 states/eV/f.u.; final energy = -35.28 eV for the cell shown
1.0
3.938 0.000 0.000
0.000 3.938 0.000
0.000 0.000 3.956
H V Cr Sn
1 2 1 1
direct
0.000 0.000 0.000 H
0.000 0.500 0.000 V
0.500 0.000 0.000 V
0.000 0.000 0.500 Cr
0.500 0.500 0.500 Sn

=====

TlSi2Ag, optimized geometry, DFT PBE; E_form (uncorrected) = 0.62 eV per atom; total moment = 0.0 Bohr magnetons per cell; space-group type = Cmmm (65); density of states at the Fermi level = 2.15 states/eV/f.u.; final energy = -13.60 eV for the cell shown
1.0
-4.477 -1.183 3.192
2.978 -4.069 -2.492
1.776 -0.184 2.422
Ag Si Tl
1 2 1
direct
0.000 0.500 0.500 Ag
0.000 0.000 0.000 Si
0.500 0.500 0.000 Si
0.500 0.000 0.500 Tl

=====

ZnCd5Au3, optimized geometry, DFT PBE; E_form = -0.1395 eV per atom; total moment = 0.0 Bohr magnetons per cell; space-group type = C2/c (15); density of states at the Fermi level = 2.74 states/eV/f.u.; final energy = -33.87 eV for the cell shown
1.0
6.598 0.000 0.000
-3.299 7.012 -2.298
0.000 -0.108 9.004
Cd Au Zn
10 6 2
direct
0.076 0.666 0.911 Cd
0.067 0.660 0.422 Cd
0.256 0.000 0.750 Cd
0.590 0.666 0.411 Cd
0.407 0.340 0.078 Cd
0.744 0.000 0.250 Cd
0.933 0.340 0.578 Cd
0.593 0.660 0.922 Cd
0.924 0.334 0.089 Cd
0.410 0.334 0.589 Cd
0.000 0.000 0.500 Au
0.640 0.316 0.328 Au
0.677 0.316 0.828 Au
0.323 0.684 0.172 Au
0.000 0.000 0.000 Au
0.360 0.684 0.672 Au
0.759 0.000 0.750 Zn
0.241 0.000 0.250 Zn

=====

AgBiPd, optimized geometry, DFT PBE; E_form = 0.1941 eV per atom; total moment = 0.0 Bohr magnetons per cell; space-group type = I4mm (107); density of states at the Fermi level = 1.41 states/eV/f.u.; final energy = -11.34 eV for the cell shown
1.0
-0.468 -2.580 -1.617
2.957 -0.775 0.381
-3.004 -1.944 6.907
Bi Pd Ag
1 1 1
direct
0.944 0.944 0.887 Bi
0.764 0.764 0.528 Pd
0.142 0.142 0.284 Ag

=====

HgRu2W, optimized geometry, DFT PBE; E_form = 0.4975 eV per atom; total moment = 0.1 Bohr magnetons per cell; space-group type = Cmmm (65); density of states at the Fermi level = 5.36 states/eV/f.u.; final energy = -29.82 eV for the cell shown
1.0
-0.335 4.466 -1.541
-4.484 -1.302 0.795
0.208 0.965 2.751
Ru W Hg
2 1 1
direct
0.500 0.500 0.000 Ru
0.000 0.000 0.000 Ru
0.500 0.000 0.500 W
0.000 0.500 0.500 Hg

=====

HfSb2, optimized geometry, DFT PBE; E_form (uncorrected) = -0.42 eV per atom; total moment = 0.0 Bohr magnetons per cell; space-group type = Pnnm (58); density of states at the Fermi level = 0.71 states/eV/f.u.; final energy = -155.60 eV for the cell shown
1.0
-3.683 -1.087 0.725
0.255 -6.111 -7.864
5.039 -11.168 8.842
Sb Hf
16 8
direct
0.500 0.619 0.443 Sb
0.000 0.733 0.302 Sb
0.500 0.767 0.802 Sb
0.000 0.119 0.057 Sb
0.500 0.381 0.557 Sb
0.500 0.987 0.605 Sb
0.000 0.341 0.345 Sb
0.000 0.487 0.895 Sb
0.500 0.233 0.198 Sb
0.500 0.013 0.395 Sb
0.000 0.267 0.698 Sb
0.500 0.159 0.845 Sb
0.500 0.841 0.155 Sb
0.000 0.659 0.655 Sb
0.000 0.513 0.105 Sb
0.000 0.881 0.943 Sb
0.500 0.333 0.006 Hf
0.000 0.167 0.506 Hf
0.000 0.978 0.751 Hf
0.500 0.667 0.994 Hf
0.500 0.478 0.749 Hf
0.500 0.522 0.251 Hf
0.000 0.022 0.249 Hf
0.000 0.833 0.494 Hf